(1)
SrLaNiO4: PBEsol geometry, SCAN.

Crystal system: orthorhombic
ΔE to the lowest computed polymorph (kJ per mole of atoms): 0.4
Raw formation energy (eV per atom): -2.723
VASP energy (eV/cell): -502.153

```
data_SrLaNiO4
_symmetry_space_group_name_H-M 'C m c m'
_symmetry_Int_Tables_number 63
_symmetry_space_group_name_Hall '-C 2c 2'
_cell_length_a 5.376
_cell_length_b 12.143
_cell_length_c 5.389
_cell_angle_alpha 90.00
_cell_angle_beta 90.00
_cell_angle_gamma 90.00
loop_
_atom_site_label
_atom_site_fract_x
_atom_site_fract_y
_atom_site_fract_z
Sr1 0.000 0.107 0.250
La1 0.000 0.385 0.250
Ni1 0.000 0.251 0.750
O1 0.000 0.092 0.750
O2 0.000 0.418 0.750
O3 0.250 0.250 0.000
```



(2)
BaCr2Mo: PBEsol geometry, SCAN.

Crystal system: monoclinic
Calculated formation energy (kJ/mol of atoms): 79.4
ΔE to the lowest computed polymorph (kJ per mole of atoms): 2.9
VASP energy (eV/cell): -215.826

```
data_BaCr2Mo
_symmetry_space_group_name_H-M 'C 1 m 1'
_symmetry_Int_Tables_number 8
_symmetry_space_group_name_Hall 'C -2y'
_cell_length_a 7.723
_cell_length_b 3.674
_cell_length_c 6.637
_cell_angle_alpha 90.00
_cell_angle_beta 111.24
_cell_angle_gamma 90.00
loop_
_atom_site_label
_atom_site_fract_x
_atom_site_fract_y
_atom_site_fract_z
Ba1 0.000 0.000 0.000
Cr1 0.029 0.500 0.548
Cr2 0.197 0.000 0.579
Mo1 0.323 0.500 0.425
```



(3)
Sr2CoSe3O9: PBEsol geometry, SCAN.

Crystal system: triclinic
Raw formation energy (eV per atom): -1.754
VASP energy (eV/cell): -408.970

```
data_Sr2CoSe3O9
_symmetry_space_group_name_H-M 'P -1'
_symmetry_Int_Tables_number 2
_symmetry_space_group_name_Hall '-P 1'
_cell_length_a 7.239
_cell_length_b 7.579
_cell_length_c 8.690
_cell_angle_alpha 103.00
_cell_angle_beta 105.16
_cell_angle_gamma 95.72
loop_
_atom_site_label
_atom_site_fract_x
_atom_site_fract_y
_atom_site_fract_z
Sr1 0.124 0.485 0.306
Sr2 0.257 0.915 0.108
Co1 0.400 0.663 0.742
Se1 0.132 0.924 0.703
Se2 0.273 0.365 0.913
Se3 0.401 0.207 0.543
O1 0.016 0.126 0.182
O2 0.029 0.290 0.849
O3 0.139 0.702 0.597
O4 0.270 0.596 0.907
O5 0.327 0.420 0.572
O6 0.331 0.370 0.119
O7 0.355 0.962 0.850
O8 0.372 0.752 0.326
O9 0.442 0.184 0.353
```



(4)
BaSb2Te: PBEsol geometry, SCAN.

Crystal system: monoclinic
Raw formation energy (eV per atom): -0.609
VASP energy (eV/cell): -307.515

```
data_BaSb2Te
_symmetry_space_group_name_H-M 'C 1 m 1'
_symmetry_Int_Tables_number 8
_symmetry_space_group_name_Hall 'C -2y'
_cell_length_a 11.768
_cell_length_b 4.245
_cell_length_c 5.768
_cell_angle_alpha 90.00
_cell_angle_beta 119.20
_cell_angle_gamma 90.00
loop_
_atom_site_label
_atom_site_fract_x
_atom_site_fract_y
_atom_site_fract_z
Ba1 0.000 0.000 0.000
Sb1 0.024 0.500 0.524
Sb2 0.224 0.000 0.721
Te1 0.287 0.500 0.287
```



(5)
TiBe2Ru2: PBEsol geometry, SCAN.

Crystal system: tetragonal
Calculated formation energy (kJ/mol of atoms): -63.5
VASP energy (eV/cell): -195.356

```
data_TiBe2Ru2
_symmetry_space_group_name_H-M 'P 4/m b m'
_symmetry_Int_Tables_number 127
_symmetry_space_group_name_Hall '-P 4 2ab'
_cell_length_a 6.194
_cell_length_b 6.194
_cell_length_c 2.946
_cell_angle_alpha 90.00
_cell_angle_beta 90.00
_cell_angle_gamma 90.00
loop_
_atom_site_label
_atom_site_fract_x
_atom_site_fract_y
_atom_site_fract_z
Ti1 0.000 0.000 0.000
Be1 0.118 0.382 0.000
Ru1 0.175 0.675 0.500
```



(6)
RbY3W: PBEsol geometry, SCAN.

Crystal system: cubic
Calculated formation energy (kJ/mol of atoms): 62.2
VASP energy (eV/cell): -170.734

```
data_RbY3W
_symmetry_space_group_name_H-M 'P m -3 m'
_symmetry_Int_Tables_number 221
_symmetry_space_group_name_Hall '-P 4 2 3'
_cell_length_a 5.557
_cell_length_b 5.557
_cell_length_c 5.557
_cell_angle_alpha 90.00
_cell_angle_beta 90.00
_cell_angle_gamma 90.00
loop_
_atom_site_label
_atom_site_fract_x
_atom_site_fract_y
_atom_site_fract_z
Rb1 0.000 0.000 0.000
Y1 0.000 0.500 0.500
W1 0.500 0.500 0.500
```



Quick rundown of magnetization, same order as above: 4.0 0.2 6.0 0.0 0.0 0.9 Bohr magnetons per cell